Entry 1:
Below is a relaxed structure of ZrSbAs2Rh, with properties calculated at the PBEsol level.

ρ in kg/m3: 6959
Formation energy (no corrections) in eV/atom: 0.1152

```
ZrSbAs2Rh
1.0
-1.351 0.976 -4.292
0.934 -4.323 -1.277
-4.898 -1.419 1.220
Rh As Sb Zr
1 2 1 1
Direct
0.000 0.000 0.000
0.500 0.000 0.000
0.000 0.500 0.000
0.500 0.500 0.500
0.000 0.000 0.500
```



Entry 2:
Below is a relaxed structure of ScAsRh3, with properties calculated at the PBEsol level.

ρ in kg/m3: 7942
Energy of formation from the pure elements in eV per atom: -0.073

```
ScAsRh3
1.0
4.475 0.000 0.000
0.000 4.475 0.000
0.000 0.000 4.475
Rh As Sc
3 1 1
Direct
0.500 0.000 0.000
0.000 0.000 0.500
0.000 0.500 0.000
0.000 0.000 0.000
0.500 0.500 0.500
```



Entry 3:
Below is a relaxed structure of ScAsRh2, with properties calculated at the PBEsol level.

ρ in kg/m3: 8324
Energy of formation from the pure elements in eV per atom: -0.579

```
ScAsRh2
1.0
-1.336 -1.353 -2.326
3.095 -2.306 -0.437
-2.257 -3.693 3.504
Rh Sc As
2 1 1
Direct
0.002 0.000 0.245
0.998 0.000 0.755
0.500 0.500 0.000
0.000 0.500 0.500
```



| no. | N(E_F) (states/eV per cell) | uncorrected energy (eV per atom) | magnetic moment (μB per formula unit) |
| --- | --- | --- | --- |
| 1 | 3.54 | -6.2844 | 0.00 |
| 2 | 5.58 | -7.2979 | 0.00 |
| 3 | 3.15 | -7.5766 | 0.00 |